Entry 1:
Crystalline LaP2Rh5Au at its relaxed geometry. Source: Alexandria, functional PBE.

E_tot in eV per atom: -6.70
N(E_F) in states/eV/atom: 0.861

a = 4.0263 Å, b = 4.0263 Å, c = 10.3567 Å
α = 90.00°, β = 90.00°, γ = 90.00°
Space group P4/mmm (No. 123)
Symmetry-distinct sites (fractional):
La  0.0000  0.0000  0.0000 (multiplicity 1)
P  0.5000  0.5000  0.2209 (multiplicity 2)
Rh  0.0000  0.5000  0.3222 (multiplicity 4)
Rh  0.5000  0.5000  0.0000 (multiplicity 1)
Au  0.0000  0.0000  0.5000 (multiplicity 1)

Entry 2:
Crystalline Er8Hg2Sb at its relaxed geometry. Source: Alexandria, functional PBE.

E_form (uncorrected) in eV per atom: -0.22
N(E_F) in states/eV/atom: 1.299

a = 8.6275 Å, b = 14.1002 Å, c = 5.5492 Å
α = 90.00°, β = 109.65°, γ = 90.00°
Space group C2/m (No. 12)
Symmetry-distinct sites (fractional):
Er  0.0000  0.2276  0.0000 (multiplicity 4)
Er  0.1021  0.5000  0.7987 (multiplicity 4)
Er  0.2075  0.1157  0.6150 (multiplicity 8)
Hg  0.0000  0.3044  0.5000 (multiplicity 4)
Sb  0.0000  0.0000  0.0000 (multiplicity 2)

Entry 3:
Crystalline HfAlNi3 at its relaxed geometry. Source: Alexandria, functional PBE.

E above lowest polymorph in meV per atom: 1314
N(E_F) in states/eV/atom: 0.718

a = 4.5502 Å, b = 4.5502 Å, c = 4.5502 Å
α = 90.00°, β = 90.00°, γ = 90.00°
Space group Pm-3m (No. 221)
Symmetry-distinct sites (fractional):
Hf  0.0000  0.0000  0.0000 (multiplicity 1)
Al  0.5000  0.5000  0.5000 (multiplicity 1)
Ni  0.0000  0.0000  0.5000 (multiplicity 3)

Entry 4:
Crystalline SnB2Pd6 at its relaxed geometry. Source: Alexandria, functional PBE.

E_tot in eV per atom: -5.68
N(E_F) in states/eV/atom: 0.348

a = 8.9136 Å, b = 3.2125 Å, c = 9.4163 Å
α = 90.00°, β = 97.94°, γ = 90.00°
Space group C2/m (No. 12)
Symmetry-distinct sites (fractional):
Sn  0.0000  0.0000  0.0000 (multiplicity 2)
B  0.1988  0.5000  0.3487 (multiplicity 4)
Pd  0.0447  0.0000  0.2934 (multiplicity 4)
Pd  0.1541  0.5000  0.5714 (multiplicity 4)
Pd  0.2373  0.5000  0.1321 (multiplicity 4)

What is the formula in the first record?
LaP2Rh5Au

What is the formula in the first record?
LaP2Rh5Au

Among the records above, which one has the lowest N(E_F)?
SnB2Pd6

Which of these has the highest N(E_F)?
Er8Hg2Sb